Entry 1:
DFT (PBE) results for an optimized crystal structure of MgPaSe2O8.

Cell: 5.994 5.994 6.135 Å, 90.00 90.00 120.00°
Fractional positions:
O1 0.147 0.853 0.743
O2 0.147 0.294 0.743
O3 0.706 0.853 0.743
O4 0.333 0.667 0.041
O5 0.853 0.706 0.257
Pa1 0.000 0.000 0.000
Se1 0.333 0.667 0.773
O6 0.294 0.147 0.257
Se2 0.667 0.333 0.227
O7 0.667 0.333 0.959
Mg1 0.000 0.000 0.500
O8 0.853 0.147 0.257

## Properties
The crystal system is trigonal. The volume is 15.91 A^3/atom. For the total energy, the calculation gives -77.2 eV per formula unit.

Entry 2:
DFT (PBE) results for an optimized crystal structure of MgPaSiO6.

Cell: 5.279 5.279 8.557 Å, 90.00 90.00 120.00°
Last column: magnetic moment on the atom in μB.
Fractional positions:
O1 0.680 0.055 0.367  0.15
Mg1 0.000 0.000 0.500  0.00
O2 0.320 0.375 0.867  0.15
Si1 0.667 0.333 0.250  -0.01
Mg2 0.000 0.000 0.000  0.00
O3 0.625 0.945 0.867  0.15
O4 0.055 0.680 0.867  0.15
Pa1 0.667 0.333 0.750  -0.01
Pa2 0.333 0.667 0.250  -0.01
O5 0.055 0.375 0.633  0.15
O6 0.945 0.625 0.367  0.15
O7 0.320 0.945 0.633  0.15
O8 0.945 0.320 0.133  0.15
O9 0.375 0.320 0.367  0.15
Si2 0.333 0.667 0.750  -0.01
O10 0.680 0.625 0.133  0.15
O11 0.625 0.680 0.633  0.15
O12 0.375 0.055 0.133  0.15

## Properties
The crystal system is trigonal. The volume is 11.47 A^3/atom. For the total energy, the calculation gives -70.1 eV per formula unit.

Entry 3:
DFT (PBE) results for an optimized crystal structure of MgPaSn2O8.

Cell: 6.098 6.098 6.098 Å, 109.69 109.69 109.04°
Last column: magnetic moment on the atom in μB.
Fractional positions:
O1 0.951 0.252 0.301  0.18
Mg1 0.000 0.000 0.000  0.00
O2 0.311 0.512 0.201  0.05
O3 0.748 0.049 0.699  0.18
O4 0.311 0.110 0.799  0.05
O5 0.951 0.650 0.699  0.18
O6 0.350 0.049 0.301  0.18
Pa1 0.250 0.750 0.500  -0.02
Sn1 0.500 0.500 0.000  0.00
O7 0.488 0.689 0.799  0.05
O8 0.890 0.689 0.201  0.05
Sn2 0.750 0.250 0.500  -0.01

## Properties
The crystal system is tetragonal. The volume is 14.55 A^3/atom. For the total energy, the calculation gives -82.4 eV per formula unit.

Entry 4:
DFT (PBE) results for an optimized crystal structure of Mg2PaSnO8.

Cell: 5.932 5.932 5.932 Å, 112.49 112.49 103.59°
Last column: magnetic moment on the atom in μB.
Fractional positions:
Mg1 0.500 0.500 0.000  0.00
O1 0.296 0.107 0.811  0.04
O2 0.955 0.261 0.306  0.24
O3 0.955 0.649 0.694  0.24
Pa1 0.250 0.750 0.500  -0.02
O4 0.351 0.045 0.306  0.24
Mg2 0.750 0.250 0.500  0.00
O5 0.296 0.485 0.189  0.04
O6 0.893 0.704 0.189  0.04
Sn1 0.000 0.000 0.000  -0.02
O7 0.739 0.045 0.694  0.24
O8 0.515 0.704 0.811  0.04

## Properties
The crystal system is tetragonal. The volume is 13.29 A^3/atom. For the total energy, the calculation gives -79.8 eV per formula unit.

Entry 5:
DFT (PBE) results for an optimized crystal structure of Mg2PaTcO8.

Cell: 4.751 4.748 6.533 Å, 90.00 90.00 91.48°
Fractional positions:
Pa1 0.000 0.000 0.500
O1 0.809 0.191 0.216
O2 0.283 0.282 0.000
O3 0.305 0.304 0.500
O4 0.695 0.696 0.500
Mg1 0.500 0.500 0.242
O5 0.191 0.809 0.216
Mg2 0.500 0.500 0.758
O6 0.717 0.718 0.000
Tc1 0.000 0.000 0.000
O7 0.191 0.809 0.784
O8 0.809 0.191 0.784

## Properties
The crystal system is orthorhombic. The volume is 12.28 A^3/atom. For the total energy, the calculation gives -91.3 eV per formula unit.

Entry 6:
DFT (PBE) results for an optimized crystal structure of Mg2PaTeO8.

Cell: 4.730 4.730 6.693 Å, 90.00 90.00 91.84°
Last column: magnetic moment on the atom in μB.
Fractional positions:
O1 0.308 0.309 0.500  0.05
O2 0.192 0.808 0.221  0.05
O3 0.192 0.808 0.779  0.05
Mg1 0.500 0.500 0.235  0.00
Pa1 0.000 0.000 0.500  0.03
Te1 0.000 0.000 0.000  -0.01
Mg2 0.500 0.500 0.765  0.00
O4 0.808 0.192 0.779  0.05
O5 0.692 0.691 0.500  0.05
O6 0.710 0.710 0.000  0.11
O7 0.290 0.290 0.000  0.11
O8 0.808 0.192 0.221  0.05

## Properties
The crystal system is orthorhombic. The volume is 12.47 A^3/atom. For the total energy, the calculation gives -82.0 eV per formula unit.

Please write out number 5 again, unchanged.
DFT (PBE) results for an optimized crystal structure of Mg2PaTcO8.

Cell: 4.751 4.748 6.533 Å, 90.00 90.00 91.48°
Fractional positions:
Pa1 0.000 0.000 0.500
O1 0.809 0.191 0.216
O2 0.283 0.282 0.000
O3 0.305 0.304 0.500
O4 0.695 0.696 0.500
Mg1 0.500 0.500 0.242
O5 0.191 0.809 0.216
Mg2 0.500 0.500 0.758
O6 0.717 0.718 0.000
Tc1 0.000 0.000 0.000
O7 0.191 0.809 0.784
O8 0.809 0.191 0.784

## Properties
The crystal system is orthorhombic. The volume is 12.28 A^3/atom. For the total energy, the calculation gives -91.3 eV per formula unit.